Entry from Alexandria: an optimized crystal structure of YNi (PBE).

Energy of formation (meV per atom): -218

Lattice parameters (Å, degrees): 9.609 9.609 3.989 90.00 90.00 90.00
Space group I4/mmm (No. 139)
Inequivalent atoms, fractional coordinates:
Y 0.000 0.268 0.000 [8 per cell]
Ni 0.202 0.202 0.500 [8 per cell]